An optimized crystal structure of NdH3Pt, computed with PBE.

a b c (Å): 6.278 6.278 5.070
angles (deg): 93.82 93.82 35.29
Fractional positions:
Nd: 0.000 0.000 0.000
Nd: 0.733 0.733 0.513
H: 0.172 0.172 0.264
H: 0.357 0.357 0.748
H: 0.560 0.560 0.243
H: 0.561 0.561 0.743
H: 0.780 0.780 0.027
H: 0.949 0.949 0.482
Pt: 0.283 0.283 0.042
Pt: 0.454 0.454 0.482

Results
- SG: Cm, No. 8
- Total energy: -47.56 eV per cell